# KCeCu2Br8 GGA-PBE relaxed
# Mass density = 3.4 Mg/m³
# VASP energy = -40.4 eV for the cell shown
# E_form (uncorrected) = -0.99 eV/atom
data_KCeCu2Br8
_space_group_name_H-M_alt 'P 1'
_space_group_IT_number 1
_cell_length_a 7.712
_cell_length_b 7.712
_cell_length_c 9.042
_cell_angle_alpha 90.00
_cell_angle_beta 90.00
_cell_angle_gamma 120.00
loop_
_space_group_symop_operation_xyz
'x,y,z'
loop_
_atom_site_label
_atom_site_type_symbol
_atom_site_fract_x
_atom_site_fract_y
_atom_site_fract_z
K1 K 0.000 0.000 0.000
Ce1 Ce 0.000 0.000 0.500
Cu1 Cu 0.333 0.667 0.191
Cu2 Cu 0.667 0.333 0.809
Br1 Br 0.166 0.331 0.309
Br2 Br 0.166 0.834 0.309
Br3 Br 0.331 0.166 0.691
Br4 Br 0.333 0.667 0.939
Br5 Br 0.667 0.333 0.061
Br6 Br 0.669 0.834 0.309
Br7 Br 0.834 0.166 0.691
Br8 Br 0.834 0.669 0.691

# LiCeCu2Br8 GGA-PBE relaxed
# Mass density = 4.2 Mg/m³
# VASP energy = -40.9 eV for the cell shown
# E_form (uncorrected) = -0.96 eV/atom
data_LiCeCu2Br8
_space_group_name_H-M_alt 'P 1'
_space_group_IT_number 1
_cell_length_a 7.783
_cell_length_b 7.783
_cell_length_c 7.783
_cell_angle_alpha 107.82
_cell_angle_beta 107.82
_cell_angle_gamma 112.84
loop_
_space_group_symop_operation_xyz
'x,y,z'
loop_
_atom_site_label
_atom_site_type_symbol
_atom_site_fract_x
_atom_site_fract_y
_atom_site_fract_z
Li1 Li 0.000 0.000 0.000
Ce1 Ce 0.250 0.750 0.500
Cu1 Cu 0.500 0.500 0.000
Cu2 Cu 0.750 0.250 0.500
Br1 Br 0.315 0.119 0.804
Br2 Br 0.315 0.511 0.196
Br3 Br 0.364 0.050 0.313
Br4 Br 0.489 0.685 0.804
Br5 Br 0.737 0.050 0.687
Br6 Br 0.881 0.685 0.196
Br7 Br 0.950 0.263 0.313
Br8 Br 0.950 0.636 0.687

# NaCeCuBr6 GGA-PBE relaxed
# Mass density = 4.1 Mg/m³
# VASP energy = -65.4 eV for the cell shown
# E_form (uncorrected) = -1.26 eV/atom
data_NaCeCuBr6
_space_group_name_H-M_alt 'P 1'
_space_group_IT_number 1
_cell_length_a 6.968
_cell_length_b 6.968
_cell_length_c 13.554
_cell_angle_alpha 90.00
_cell_angle_beta 90.00
_cell_angle_gamma 120.00
loop_
_space_group_symop_operation_xyz
'x,y,z'
loop_
_atom_site_label
_atom_site_type_symbol
_atom_site_fract_x
_atom_site_fract_y
_atom_site_fract_z
Na1 Na 0.000 0.000 0.000
Na2 Na 0.000 0.000 0.500
Ce1 Ce 0.333 0.667 0.250
Ce2 Ce 0.667 0.333 0.750
Cu1 Cu 0.333 0.667 0.750
Cu2 Cu 0.667 0.333 0.250
Br1 Br 0.015 0.361 0.633
Br2 Br 0.015 0.655 0.867
Br3 Br 0.345 0.361 0.867
Br4 Br 0.345 0.985 0.633
Br5 Br 0.361 0.015 0.133
Br6 Br 0.361 0.345 0.367
Br7 Br 0.639 0.655 0.633
Br8 Br 0.639 0.985 0.867
Br9 Br 0.655 0.015 0.367
Br10 Br 0.655 0.639 0.133
Br11 Br 0.985 0.345 0.133
Br12 Br 0.985 0.639 0.367

# CeTl2CuBr6 GGA-PBE relaxed
# Mass density = 5.1 Mg/m³
# VASP energy = -71.5 eV for the cell shown
# E_form (uncorrected) = -1.09 eV/atom
data_CeTl2CuBr6
_space_group_name_H-M_alt 'P 1'
_space_group_IT_number 1
_cell_length_a 7.963
_cell_length_b 8.901
_cell_length_c 12.745
_cell_angle_alpha 90.00
_cell_angle_beta 128.43
_cell_angle_gamma 90.00
loop_
_space_group_symop_operation_xyz
'x,y,z'
loop_
_atom_site_label
_atom_site_type_symbol
_atom_site_fract_x
_atom_site_fract_y
_atom_site_fract_z
Ce1 Ce 0.000 0.000 0.000
Ce2 Ce 0.000 0.500 0.500
Tl1 Tl 0.224 0.094 0.752
Tl2 Tl 0.224 0.406 0.252
Tl3 Tl 0.776 0.594 0.748
Tl4 Tl 0.776 0.906 0.248
Cu1 Cu 0.500 0.000 0.500
Cu2 Cu 0.500 0.500 0.000
Br1 Br 0.117 0.220 0.446
Br2 Br 0.117 0.280 0.946
Br3 Br 0.257 0.665 0.450
Br4 Br 0.257 0.835 0.950
Br5 Br 0.392 0.031 0.286
Br6 Br 0.392 0.469 0.786
Br7 Br 0.608 0.531 0.214
Br8 Br 0.608 0.969 0.714
Br9 Br 0.743 0.165 0.050
Br10 Br 0.743 0.335 0.550
Br11 Br 0.883 0.720 0.054
Br12 Br 0.883 0.780 0.554

# CeTlCuBr6 GGA-PBE relaxed
# Mass density = 4.6 Mg/m³
# VASP energy = -65.0 eV for the cell shown
# E_form (uncorrected) = -1.12 eV/atom
data_CeTlCuBr6
_space_group_name_H-M_alt 'P 1'
_space_group_IT_number 1
_cell_length_a 7.076
_cell_length_b 7.076
_cell_length_c 14.887
_cell_angle_alpha 90.00
_cell_angle_beta 90.00
_cell_angle_gamma 120.00
loop_
_space_group_symop_operation_xyz
'x,y,z'
loop_
_atom_site_label
_atom_site_type_symbol
_atom_site_fract_x
_atom_site_fract_y
_atom_site_fract_z
Ce1 Ce 0.333 0.667 0.250
Ce2 Ce 0.667 0.333 0.750
Tl1 Tl 0.000 0.000 0.000
Tl2 Tl 0.000 0.000 0.500
Cu1 Cu 0.333 0.667 0.750
Cu2 Cu 0.667 0.333 0.250
Br1 Br 0.016 0.372 0.643
Br2 Br 0.016 0.644 0.857
Br3 Br 0.356 0.372 0.857
Br4 Br 0.356 0.984 0.643
Br5 Br 0.372 0.016 0.143
Br6 Br 0.372 0.356 0.357
Br7 Br 0.628 0.644 0.643
Br8 Br 0.628 0.984 0.857
Br9 Br 0.644 0.016 0.357
Br10 Br 0.644 0.628 0.143
Br11 Br 0.984 0.356 0.143
Br12 Br 0.984 0.628 0.357

# CeDy2Br GGA-PBE relaxed
# Mass density = 7.9 Mg/m³
# VASP energy = -18.8 eV for the cell shown
# E_form (uncorrected) = -0.50 eV/atom
data_CeDy2Br
_space_group_name_H-M_alt 'P 1'
_space_group_IT_number 1
_cell_length_a 10.370
_cell_length_b 10.370
_cell_length_c 10.370
_cell_angle_alpha 20.10
_cell_angle_beta 20.10
_cell_angle_gamma 20.10
loop_
_space_group_symop_operation_xyz
'x,y,z'
loop_
_atom_site_label
_atom_site_type_symbol
_atom_site_fract_x
_atom_site_fract_y
_atom_site_fract_z
Ce1 Ce 0.000 0.000 0.000
Dy1 Dy 0.243 0.243 0.243
Dy2 Dy 0.757 0.757 0.757
Br1 Br 0.500 0.500 0.500

# CeDyBr2 GGA-PBE relaxed
# Mass density = 6.4 Mg/m³
# VASP energy = -17.9 eV for the cell shown
# E_form (uncorrected) = -1.01 eV/atom
data_CeDyBr2
_space_group_name_H-M_alt 'P 1'
_space_group_IT_number 1
_cell_length_a 10.307
_cell_length_b 10.307
_cell_length_c 10.307
_cell_angle_alpha 20.80
_cell_angle_beta 20.80
_cell_angle_gamma 20.80
loop_
_space_group_symop_operation_xyz
'x,y,z'
loop_
_atom_site_label
_atom_site_type_symbol
_atom_site_fract_x
_atom_site_fract_y
_atom_site_fract_z
Ce1 Ce 0.000 0.000 0.000
Dy1 Dy 0.500 0.500 0.500
Br1 Br 0.405 0.405 0.405
Br2 Br 0.595 0.595 0.595

# CeDyBr GGA-PBE relaxed
# Mass density = 7.4 Mg/m³
# ΔE to the lowest computed polymorph = 0 meV per atom
# VASP energy = -28.5 eV for the cell shown
# E_form (uncorrected) = -0.68 eV/atom
data_CeDyBr
_space_group_name_H-M_alt 'P 1'
_space_group_IT_number 1
_cell_length_a 3.617
_cell_length_b 6.624
_cell_length_c 7.782
_cell_angle_alpha 70.81
_cell_angle_beta 76.57
_cell_angle_gamma 89.99
loop_
_space_group_symop_operation_xyz
'x,y,z'
loop_
_atom_site_label
_atom_site_type_symbol
_atom_site_fract_x
_atom_site_fract_y
_atom_site_fract_z
Ce1 Ce 0.071 0.433 0.356
Ce2 Ce 0.929 0.567 0.644
Dy1 Dy 0.400 0.058 0.700
Dy2 Dy 0.600 0.942 0.300
Br1 Br 0.246 0.256 0.008
Br2 Br 0.754 0.744 0.992

Among the records above, which one has the lowest mass density? KCeCu2Br8